Entry 1:
First-principles (GGA-PBE) data for a relaxed structure of LaCrSeS2, as listed in the Alexandria database.

**Formation energy (no corrections)**: -1.1310 eV per atom
**Energy**: -6.39 eV/atom
**DOS at the Fermi energy**: 0.48 states/eV per atom
**Magnetic moment**: 0.6007 μB/atom

Lattice parameters (Å, degrees): 4.647 4.931 4.647 90.00 90.00 90.00
Last column: magnetic moment on the atom in μB.
Atoms (fractional coordinates):
1 Cr 0.000 0.000 0.000  2.74
2 S 0.000 0.000 0.500  -0.04
3 S 0.500 0.000 0.000  -0.02
4 Se 0.000 0.500 0.000  -0.04
5 La 0.500 0.500 0.500  0.07

***

Entry 2:
First-principles (GGA-PBE) data for a relaxed structure of Er4TlIn2, as listed in the Alexandria database.

**Energy**: -3.90 eV/atom
**DOS at the Fermi energy**: 0.70 states/eV per atom
**Magnetic moment**: 0.0000 μB/atom
**Formation energy**: -0.1759 eV/atom

Lattice parameters (Å, degrees): 7.300 6.732 8.898 90.00 112.46 90.00
Atoms (fractional coordinates):
1 Er 0.607 0.489 0.233
2 Er 0.939 0.750 0.747
3 Er 0.061 0.250 0.253
4 Er 0.607 0.011 0.233
5 Er 0.950 0.250 0.585
6 Er 0.393 0.989 0.767
7 Er 0.393 0.511 0.767
8 Er 0.050 0.750 0.415
9 Tl 0.222 0.750 0.105
10 Tl 0.778 0.250 0.895
11 In 0.786 0.750 0.031
12 In 0.214 0.250 0.969
13 In 0.492 0.250 0.511
14 In 0.508 0.750 0.489

***

Which of these has the highest energy?
Er4TlIn2

***

The lowest DOS at the Fermi energy belongs to which entry?
LaCrSeS2

***

What is the magnetic moment in the first record?
0.6007 μB/atom